The following is a DFT calculation (PBE) of a relaxed Tb2CeSc crystal.

Results
ΔE_f = 82 meV/atom
Crystal system = tetragonal
Excess energy over the best structure of this formula in the dataset = 0.02 eV/f.u.
SG = No. 123
Mass density = 7.099 Mg/m³

a = 3.4589 Å, b = 3.4589 Å, c = 9.8328 Å
α = 90.00°, β = 90.00°, γ = 90.00°
Positions (direct):
Tb 0.0000 0.0000 0.2431
Tb 0.0000 0.0000 0.7569
Ce 0.5000 0.5000 0.5000
Sc 0.5000 0.5000 0.0000